1.
A relaxed structure of KW2Cl. Source: the Alexandria database, functional PBE.

Results
- calculated density (Mg/m³) = 6.8
- ΔE to the lowest computed polymorph (kJ/mol of formula units) = 242.4
- N(E_F) (states/eV/f.u.) = 4.31
- final energy (eV per atom) = -6.35
- E_form (uncorrected) (eV/atom) = 0.87

abc: 3.025 4.447 7.974
angles: 90.00 90.00 90.00
Element x y z (fractional)
K  0.000  0.500  0.500
W  0.000  0.000  0.000
W  0.500  0.500  0.000
Cl  0.500  0.000  0.500

2.
A relaxed structure of K2WCl. Source: the Alexandria database, functional PBE.

Results
- calculated density (Mg/m³) = 3.3
- ΔE to the lowest computed polymorph (kJ/mol of formula units) = 168.6
- N(E_F) (states/eV/f.u.) = 0.08
- final energy (eV per atom) = -3.43
- E_form (uncorrected) (eV/atom) = 0.82

abc: 7.396 7.396 7.396
angles: 142.24 142.24 54.47
Element x y z (fractional)
K  0.000  0.000  0.000
K  0.250  0.750  0.500
W  0.500  0.500  0.000
Cl  0.750  0.250  0.500

| no. | calculated volume (Å³/cell) |
| --- | --- |
| 1 | 107 |
| 2 | 151 |